Compound: Nd3Tm5Se12
Source: Alexandria via LeMat-Bulk
Functional: PBE-GGA
Structure: relaxed

Cell: 16.889 16.889 16.889 Å, 90.00 90.00 90.00°
Space group Ia-3d (No. 230)
Unique sites:
Nd 0.000 0.250 0.125 x24
Tm 0.000 0.000 0.000 x16
Tm 0.000 0.250 0.375 x24
Se 0.023 0.067 0.652 x96

Values from the calculation:
The uncorrected formation energy comes out at -1.714 eV/atom. Its density of states at the Fermi level is 0.000 states/eV per atom.